## Rb2PaMnS6 (GGA-PBE)

Data for a relaxed structure of Rb2PaMnS6.

## Properties
Its electronic total energy is -55.4 eV for the cell shown.

abc: 7.006 7.006 7.006
angles: 60.00 60.00 60.00
Sites, in units of the cell vectors:
Rb  0.250  0.250  0.250
Rb  0.750  0.750  0.750
Pa  0.000  0.000  0.000
Mn  0.500  0.500  0.500
S  0.264  0.264  0.736
S  0.264  0.736  0.264
S  0.264  0.736  0.736
S  0.736  0.264  0.264
S  0.736  0.264  0.736
S  0.736  0.736  0.264



## Rb2PaMnSe4 (GGA-PBE)

Data for a relaxed structure of Rb2PaMnSe4.

## Properties
Its electronic total energy is -43.2 eV for the cell shown.

abc: 7.182 4.195 8.361
angles: 90.00 107.27 90.00
Sites, in units of the cell vectors:
Rb  0.000  0.000  0.000
Rb  0.500  0.500  0.000
Pa  0.000  0.500  0.500
Mn  0.500  0.000  0.500
Se  0.236  0.000  0.698
Se  0.280  0.500  0.318
Se  0.720  0.500  0.682
Se  0.764  0.000  0.302



## Rb2Pa2MnSe6 (GGA-PBE)

Data for a relaxed structure of Rb2Pa2MnSe6.

## Properties
Its electronic total energy is -64.2 eV for the cell shown.

abc: 7.091 7.091 8.591
angles: 97.81 97.81 119.88
Sites, in units of the cell vectors:
Rb  0.166  0.834  0.000
Rb  0.834  0.166  0.000
Pa  0.335  0.665  0.500
Pa  0.665  0.335  0.500
Mn  0.000  0.000  0.500
Se  0.063  0.392  0.690
Se  0.262  0.262  0.310
Se  0.392  0.063  0.690
Se  0.608  0.937  0.310
Se  0.738  0.738  0.690
Se  0.937  0.608  0.310



## Rb3Pa3MnSe8 (GGA-PBE)

Data for a relaxed structure of Rb3Pa3MnSe8.

## Properties
Its electronic total energy is -86.6 eV for the cell shown.

abc: 9.529 9.529 9.529
angles: 51.48 51.48 51.48
Sites, in units of the cell vectors:
Rb  0.000  0.500  0.500
Rb  0.500  0.000  0.500
Rb  0.500  0.500  0.000
Pa  0.000  0.000  0.500
Pa  0.000  0.500  0.000
Pa  0.500  0.000  0.000
Mn  0.500  0.500  0.500
Se  0.234  0.234  0.234
Se  0.239  0.725  0.725
Se  0.275  0.275  0.761
Se  0.275  0.761  0.275
Se  0.725  0.239  0.725
Se  0.725  0.725  0.239
Se  0.761  0.275  0.275
Se  0.766  0.766  0.766



## Rb3PaMn2Se6 (GGA-PBE)

Data for a relaxed structure of Rb3PaMn2Se6.

## Properties
Its electronic total energy is -63.9 eV for the cell shown.

abc: 7.083 7.083 8.308
angles: 98.15 98.15 119.99
Sites, in units of the cell vectors:
Rb  0.000  0.000  0.000
Rb  0.332  0.668  0.000
Rb  0.668  0.332  0.000
Pa  0.500  0.500  0.500
Mn  0.167  0.833  0.500
Mn  0.833  0.167  0.500
Se  0.101  0.438  0.313
Se  0.225  0.225  0.687
Se  0.438  0.101  0.313
Se  0.562  0.899  0.687
Se  0.775  0.775  0.313
Se  0.899  0.562  0.687



## Rb3PaMn2Te6 (GGA-PBE)

Data for a relaxed structure of Rb3PaMn2Te6.

## Properties
Its electronic total energy is -57.9 eV for the cell shown.

abc: 7.579 7.579 8.873
angles: 98.20 98.20 119.94
Sites, in units of the cell vectors:
Rb  0.000  0.000  0.000
Rb  0.335  0.665  0.000
Rb  0.665  0.335  0.000
Pa  0.500  0.500  0.500
Mn  0.167  0.833  0.500
Mn  0.833  0.167  0.500
Te  0.096  0.438  0.311
Te  0.221  0.221  0.688
Te  0.438  0.096  0.311
Te  0.562  0.904  0.689
Te  0.779  0.779  0.312
Te  0.904  0.562  0.689



## Rb2PaMnTe4 (GGA-PBE)

Data for a relaxed structure of Rb2PaMnTe4.

## Properties
Its electronic total energy is -39.2 eV for the cell shown.

abc: 7.739 4.449 8.914
angles: 90.00 107.15 90.00
Sites, in units of the cell vectors:
Rb  0.000  0.000  0.000
Rb  0.500  0.500  0.000
Pa  0.000  0.500  0.500
Mn  0.500  0.000  0.500
Te  0.238  0.000  0.701
Te  0.283  0.500  0.317
Te  0.717  0.500  0.683
Te  0.762  0.000  0.299



## Rb4Pa3MnTe8 (GGA-PBE)

Data for a relaxed structure of Rb4Pa3MnTe8.

## Properties
Its electronic total energy is -79.9 eV for the cell shown.

abc: 10.089 10.089 10.089
angles: 52.22 52.22 52.22
Sites, in units of the cell vectors:
Rb  0.000  0.000  0.000
Rb  0.000  0.500  0.500
Rb  0.500  0.000  0.500
Rb  0.500  0.500  0.000
Pa  0.000  0.000  0.500
Pa  0.000  0.500  0.000
Pa  0.500  0.000  0.000
Mn  0.500  0.500  0.500
Te  0.236  0.236  0.236
Te  0.243  0.727  0.727
Te  0.273  0.273  0.757
Te  0.273  0.757  0.273
Te  0.727  0.243  0.727
Te  0.727  0.727  0.243
Te  0.757  0.273  0.273
Te  0.764  0.764  0.764



## Rb3Pa3MnTe8 (GGA-PBE)

Data for a relaxed structure of Rb3Pa3MnTe8.

## Properties
Its electronic total energy is -77.9 eV for the cell shown.

abc: 10.211 10.211 10.211
angles: 50.95 50.95 50.95
Sites, in units of the cell vectors:
Rb  0.000  0.500  0.500
Rb  0.500  0.000  0.500
Rb  0.500  0.500  0.000
Pa  0.000  0.000  0.500
Pa  0.000  0.500  0.000
Pa  0.500  0.000  0.000
Mn  0.500  0.500  0.500
Te  0.235  0.235  0.235
Te  0.242  0.725  0.725
Te  0.275  0.275  0.758
Te  0.275  0.758  0.275
Te  0.725  0.242  0.725
Te  0.725  0.725  0.242
Te  0.758  0.275  0.275
Te  0.765  0.765  0.765



## PaMnRe (GGA-PBE)

Data for a relaxed structure of PaMnRe.

## Properties
Its electronic total energy is -31.0 eV for the cell shown. The value obtained for the energy relative to the lowest polymorph listed for this composition is 14.0 kJ per mole of atoms. As for the energy relative to the elements: 0.0219 eV/atom.

abc: 6.206 6.206 6.206
angles: 152.61 152.61 39.12
Sites, in units of the cell vectors:
Pa  0.000  0.000  0.000
Mn  0.685  0.685  0.000
Re  0.300  0.300  0.000



## PaMnRe2 (GGA-PBE)

Data for a relaxed structure of PaMnRe2.

## Properties
Its electronic total energy is -43.1 eV for the cell shown. The value obtained for the energy relative to the lowest polymorph listed for this composition is 0.0 kJ per mole of atoms. As for the energy relative to the elements: 0.1271 eV/atom.

abc: 2.925 2.925 7.600
angles: 90.00 90.00 90.00
Sites, in units of the cell vectors:
Pa  0.000  0.000  0.000
Mn  0.000  0.000  0.500
Re  0.500  0.500  0.303
Re  0.500  0.500  0.697



## Pa2Mn3Re (GGA-PBE)

Data for a relaxed structure of Pa2Mn3Re.

## Properties
Its electronic total energy is -59.6 eV for the cell shown. As for the energy relative to the elements: -0.1137 eV/atom.

abc: 5.032 5.032 5.032
angles: 63.99 63.99 63.99
Sites, in units of the cell vectors:
Pa  0.124  0.124  0.124
Pa  0.876  0.876  0.876
Mn  0.000  0.500  0.500
Mn  0.500  0.000  0.500
Mn  0.500  0.500  0.000
Re  0.500  0.500  0.500